No. 1
An optimized crystal structure of KInPb. Source: Alexandria via LeMat-Bulk, functional PBE.

a = 6.621 Å, b = 6.304 Å, c = 5.775 Å
α = 90.00°, β = 90.00°, γ = 90.00°
Space group Pmma (No. 51)
Asymmetric unit:
1 K 0.250 0.000 0.234 x2
2 In 0.000 0.500 0.000 x2
3 Pb 0.250 0.500 0.547 x2

Summary:
Formation enthalpy at 0 K ... -17 meV per atom
D(E_F) ... 2.36 states/eV per cell


No. 2
An optimized crystal structure of NaCdSe. Source: Alexandria via LeMat-Bulk, functional PBE.

a = 4.203 Å, b = 5.762 Å, c = 7.005 Å
α = 70.44°, β = 78.40°, γ = 78.90°
Space group P-1 (No. 2)
Asymmetric unit:
1 Na 0.195 0.212 0.104 x2
2 Cd 0.363 0.216 0.550 x2
3 Se 0.229 0.662 0.222 x2

Summary:
Excess energy over the best structure of this formula in the dataset ... 0.000 eV/f.u.


No. 3
An optimized crystal structure of Hf2BeIn2. Source: Alexandria via LeMat-Bulk, functional PBE.

a = 3.898 Å, b = 3.898 Å, c = 14.955 Å
α = 90.00°, β = 90.00°, γ = 90.00°
Space group I4/mmm (No. 139)
Asymmetric unit:
1 Hf 0.000 0.000 0.090 x4
2 Be 0.000 0.000 0.500 x2
3 In 0.000 0.500 0.250 x4

Summary:
Formation enthalpy at 0 K ... 683 meV per atom
Excess energy over the best structure of this formula in the dataset ... 2.354 eV/f.u.
D(E_F) ... 12.28 states/eV per cell


No. 4
An optimized crystal structure of Nd2MoN5. Source: Alexandria via LeMat-Bulk, functional PBE.

a = 4.123 Å, b = 12.247 Å, c = 11.157 Å
α = 90.00°, β = 90.00°, γ = 90.00°
Space group Cmcm (No. 63)
Asymmetric unit:
1 Nd 0.000 0.144 0.067 x8
2 Mo 0.000 0.148 0.750 x4
3 N 0.000 0.049 0.626 x8
4 N 0.000 0.275 0.602 x8
5 N 0.000 0.320 0.250 x4

Summary:
D(E_F) ... 18.20 states/eV per cell


In order of appearance, total energy = -2.532 -2.607 -5.139 -7.923 eV per atom.